No. 1
Crystalline PmZrPO at its relaxed geometry. Source: the Open Quantum Materials Database, functional GGA-PBE.

Lattice parameters (Å, degrees): 4.058 7.491 5.203 90.00 90.00 90.00
Space group Pmc2_1 (No. 26)
Inequivalent atoms, fractional coordinates:
Pm  0.000  0.135  0.000
Zr  0.500  0.285  0.499
P  0.500  0.373  0.999
O  0.000  0.185  0.498

- energy above the most stable polymorph in this dataset (eV/atom) = 0.222
- total moment (μB per formula unit) = 0.00
- crystal system = orthorhombic

No. 2
Crystalline ZnHgTeO at its relaxed geometry. Source: the Open Quantum Materials Database, functional GGA-PBE.

Lattice parameters (Å, degrees): 4.210 4.210 9.302 90.00 90.00 90.00
Space group P4/nmm (No. 129, origin choice 2)
Inequivalent atoms, fractional coordinates:
Zn  0.250  0.250  0.224
Hg  0.250  0.750  0.500
Te  0.250  0.250  0.815
O  0.250  0.250  0.019

- energy above the most stable polymorph in this dataset (eV/atom) = 0.437
- crystal system = tetragonal

No. 3
Crystalline NdAlPbSe3 at its relaxed geometry. Source: the Open Quantum Materials Database, functional GGA-PBE.

Lattice parameters (Å, degrees): 4.244 13.702 11.199 90.00 90.00 90.00
Space group Cmcm (No. 63)
Inequivalent atoms, fractional coordinates:
Nd  0.000  0.000  0.000
Al  0.000  0.464  0.250
Pb  0.000  0.224  0.750
Se  0.000  0.076  0.250
Se  0.000  0.355  0.066

- energy (Ry/atom) = -0.3391
- total moment (μB per formula unit) = 0.01
- crystal system = orthorhombic